## NbReS2 (PBE-GGA)

Data for a relaxed structure of NbReS2.

Structure (POSCAR):
```
NbReS2
1.0
0.000 3.041 3.041
3.041 0.000 3.041
3.041 3.041 0.000
Nb Re S
1 1 2
direct
0.000 0.000 0.000
0.500 0.500 0.500
0.250 0.250 0.250
0.750 0.750 0.750
```

## Properties
Symmetry: No. 225
DOS at the Fermi energy (states/eV per atom): 0.846
Total moment (μB per formula unit): 0.0
Energy (eV/atom): -7.75
E_form (uncorrected) (meV/atom): -55